DFT (PBEsol) results for an optimized crystal structure of YInAs2Br.

Output
Electronic total energy (eV for the cell shown): -22.58
M_tot (μB/cell): 0.0
Energy relative to the elements, uncorrected (eV per formula unit): -0.688

abc: 5.406 5.406 5.429
angles: 90.00 90.00 90.00
Fractional coordinates of all 5 atoms:
Y 0.000 0.000 0.000
In 0.500 0.500 0.500
As 0.000 0.500 0.000
As 0.500 0.000 0.000
Br 0.000 0.000 0.500